(P)
Here is an optimized crystal structure of Gd2ErTh from Alexandria via LeMat-Bulk. Energies are from GGA-PBE.

Values from the calculation:
As for the size of the total moment: 17.0 μB per formula unit. The calculated density comes out at 9.1 g cm⁻³.

a b c (Å): 5.681 5.681 5.681
angles (deg): 60.00 60.00 60.00
Each line ends with the local moment (μB).
Sites, in units of the cell vectors:
Gd: 0.250 0.250 0.250  7.41
Er: 0.000 0.000 0.000  0.34
Th: 0.500 0.500 0.500  0.52
Gd: 0.750 0.750 0.750  7.41

(Q)
Here is an optimized crystal structure of Gd2ErTh from Alexandria via LeMat-Bulk. Energies are from GGA-PBE.

Values from the calculation:
As for the size of the total moment: 14.2 μB per formula unit. The calculated density comes out at 9.3 g cm⁻³.

a b c (Å): 3.563 3.563 10.078
angles (deg): 90.00 90.00 90.00
Each line ends with the local moment (μB).
Sites, in units of the cell vectors:
Gd: 0.000 0.000 0.745  7.07
Th: 0.500 0.500 0.500  -0.10
Er: 0.500 0.500 0.000  -0.07
Gd: 0.000 0.000 0.255  7.07

If we sort the structures by their calculated energies, the order from most to least stable is (Q), (P).

(P)
Here is an optimized crystal structure of GdEr2Th from Alexandria via LeMat-Bulk. Energies are from GGA-PBE.

Values from the calculation:
As for the size of the total moment: 7.5 μB per formula unit. The calculated density comes out at 9.6 g cm⁻³.

a b c (Å): 4.946 5.038 5.038
angles (deg): 90.00 90.00 90.00
Each line ends with the local moment (μB).
Sites, in units of the cell vectors:
Er: 0.000 0.000 0.500  -0.04
Gd: 0.500 0.000 0.000  -7.18
Th: 0.500 0.500 0.500  0.01
Er: 0.000 0.500 0.000  -0.04

(Q)
Here is an optimized crystal structure of GdEr2Th from Alexandria via LeMat-Bulk. Energies are from GGA-PBE.

Values from the calculation:
As for the size of the total moment: 7.5 μB per formula unit. The calculated density comes out at 9.6 g cm⁻³.

a b c (Å): 3.560 3.560 11.649
angles (deg): 81.21 81.21 60.00
Each line ends with the local moment (μB).
Sites, in units of the cell vectors:
Th: 0.000 0.000 0.000  0.02
Er: 0.748 0.748 0.755  0.00
Gd: 0.500 0.500 0.500  7.20
Er: 0.252 0.252 0.245  0.00

(R)
Here is an optimized crystal structure of GdEr2Th from Alexandria via LeMat-Bulk. Energies are from GGA-PBE.

Values from the calculation:
As for the size of the total moment: 7.4 μB per formula unit. The calculated density comes out at 9.5 g cm⁻³.

a b c (Å): 5.644 5.644 5.644
angles (deg): 60.00 60.00 60.00
Each line ends with the local moment (μB).
Sites, in units of the cell vectors:
Er: 0.750 0.750 0.750  -0.04
Gd: 0.500 0.500 0.500  -7.19
Er: 0.250 0.250 0.250  -0.04
Th: 0.000 0.000 0.000  0.06

If we sort the structures by their calculated energies, the order from most to least stable is (Q), (P), (R).

(P)
Here is an optimized crystal structure of Gd2ErTi from Alexandria via LeMat-Bulk. Energies are from GGA-PBE.

Values from the calculation:
As for the size of the total moment: 13.3 μB per formula unit. The calculated density comes out at 8.0 g cm⁻³.

a b c (Å): 4.798 4.787 4.787
angles (deg): 90.00 90.00 90.00
Each line ends with the local moment (μB).
Sites, in units of the cell vectors:
Gd: 0.000 0.000 0.500  -7.12
Er: 0.500 0.500 0.500  0.02
Ti: 0.500 0.000 0.000  0.96
Gd: 0.000 0.500 0.000  -7.12

(Q)
Here is an optimized crystal structure of Gd2ErTi from Alexandria via LeMat-Bulk. Energies are from GGA-PBE.

Values from the calculation:
As for the size of the total moment: 14.2 μB per formula unit. The calculated density comes out at 8.0 g cm⁻³.

a b c (Å): 3.407 3.407 9.455
angles (deg): 90.00 90.00 90.00
Each line ends with the local moment (μB).
Sites, in units of the cell vectors:
Er: 0.500 0.500 0.500  -0.05
Ti: 0.500 0.500 0.000  -0.23
Gd: 0.000 0.000 0.777  7.12
Gd: 0.000 0.000 0.223  7.12

If we sort the structures by their calculated energies, the order from most to least stable is (Q), (P).

(P)
Here is an optimized crystal structure of GdErTl from Alexandria via LeMat-Bulk. Energies are from GGA-PBE.

Values from the calculation:
As for the size of the total moment: 7.5 μB per formula unit. The calculated density comes out at 9.9 g cm⁻³.

a b c (Å): 3.699 5.261 5.261
angles (deg): 120.00 90.00 90.00
Each line ends with the local moment (μB).
Sites, in units of the cell vectors:
Er: 0.445 0.667 0.333  -0.12
Gd: 0.974 0.000 0.000  -7.13
Tl: 0.581 0.333 0.667  0.02

(Q)
Here is an optimized crystal structure of GdErTl from Alexandria via LeMat-Bulk. Energies are from GGA-PBE.

Values from the calculation:
As for the size of the total moment: 7.9 μB per formula unit. The calculated density comes out at 8.9 g cm⁻³.

a b c (Å): 5.183 5.183 5.183
angles (deg): 60.00 60.00 60.00
Each line ends with the local moment (μB).
Sites, in units of the cell vectors:
Tl: 0.250 0.250 0.250  0.00
Gd: 0.500 0.500 0.500  7.22
Er: 0.000 0.000 0.000  0.23

If we sort the structures by their calculated energies, the order from most to least stable is (P), (Q).

(P)
Here is an optimized crystal structure of Gd2ErTm from Alexandria via LeMat-Bulk. Energies are from GGA-PBE.

Values from the calculation:
As for the size of the total moment: 14.5 μB per formula unit. The calculated density comes out at 8.6 g cm⁻³.

a b c (Å): 3.539 3.539 9.978
angles (deg): 90.00 90.00 90.00
Each line ends with the local moment (μB).
Sites, in units of the cell vectors:
Tm: 0.500 0.500 0.500  -0.04
Gd: 0.000 0.000 0.251  7.12
Er: 0.500 0.500 0.000  -0.06
Gd: 0.000 0.000 0.749  7.12

(Q)
Here is an optimized crystal structure of Gd2ErTm from Alexandria via LeMat-Bulk. Energies are from GGA-PBE.

Values from the calculation:
As for the size of the total moment: 15.6 μB per formula unit. The calculated density comes out at 8.5 g cm⁻³.

a b c (Å): 5.634 5.634 5.634
angles (deg): 60.00 60.00 60.00
Each line ends with the local moment (μB).
Sites, in units of the cell vectors:
Gd: 0.750 0.750 0.750  7.25
Tm: 0.500 0.500 0.500  0.21
Er: 0.000 0.000 0.000  0.21
Gd: 0.250 0.250 0.250  7.25

If we sort the structures by their calculated energies, the order from most to least stable is (P), (Q).

(P)
Here is an optimized crystal structure of GdEr2Tm from Alexandria via LeMat-Bulk. Energies are from GGA-PBE.

Values from the calculation:
As for the size of the total moment: 7.3 μB per formula unit. The calculated density comes out at 8.9 g cm⁻³.

a b c (Å): 3.516 3.516 9.971
angles (deg): 90.00 90.00 90.00
Each line ends with the local moment (μB).
Sites, in units of the cell vectors:
Gd: 0.500 0.500 0.000  7.15
Er: 0.000 0.000 0.746  -0.02
Er: 0.000 0.000 0.254  -0.02
Tm: 0.500 0.500 0.500  -0.03

(Q)
Here is an optimized crystal structure of GdEr2Tm from Alexandria via LeMat-Bulk. Energies are from GGA-PBE.

Values from the calculation:
As for the size of the total moment: 8.8 μB per formula unit. The calculated density comes out at 8.8 g cm⁻³.

a b c (Å): 5.617 5.617 5.617
angles (deg): 60.00 60.00 60.00
Each line ends with the local moment (μB).
Sites, in units of the cell vectors:
Gd: 0.000 0.000 0.000  7.33
Er: 0.250 0.250 0.250  0.29
Tm: 0.500 0.500 0.500  0.25
Er: 0.750 0.750 0.750  0.29

If we sort the structures by their calculated energies, the order from most to least stable is (P), (Q).

(P)
Here is an optimized crystal structure of GdY2Er from Alexandria via LeMat-Bulk. Energies are from GGA-PBE.

Values from the calculation:
As for the size of the total moment: 8.9 μB per formula unit. The calculated density comes out at 6.4 g cm⁻³.

a b c (Å): 5.681 5.681 5.681
angles (deg): 60.00 60.00 60.00
Each line ends with the local moment (μB).
Sites, in units of the cell vectors:
Y: 0.250 0.250 0.250  0.21
Er: 0.000 0.000 0.000  0.26
Gd: 0.500 0.500 0.500  7.34
Y: 0.750 0.750 0.750  0.21

(Q)
Here is an optimized crystal structure of GdY2Er from Alexandria via LeMat-Bulk. Energies are from GGA-PBE.

Values from the calculation:
As for the size of the total moment: 7.0 μB per formula unit. The calculated density comes out at 6.5 g cm⁻³.

a b c (Å): 5.039 5.030 5.030
angles (deg): 90.00 90.00 90.00
Each line ends with the local moment (μB).
Sites, in units of the cell vectors:
Y: 0.000 0.000 0.500  -0.06
Y: 0.000 0.500 0.000  -0.06
Gd: 0.500 0.000 0.000  7.13
Er: 0.500 0.500 0.500  -0.06

If we sort the structures by their calculated energies, the order from most to least stable is (Q), (P).

(P)
Here is an optimized crystal structure of Gd2ErZn from Alexandria via LeMat-Bulk. Energies are from GGA-PBE.

Values from the calculation:
As for the size of the total moment: 14.5 μB per formula unit. The calculated density comes out at 8.2 g cm⁻³.

a b c (Å): 3.578 3.578 8.625
angles (deg): 90.00 90.00 90.00
Each line ends with the local moment (μB).
Sites, in units of the cell vectors:
Er: 0.500 0.500 0.500  -0.04
Gd: 0.000 0.000 0.790  7.09
Zn: 0.500 0.500 0.000  -0.01
Gd: 0.000 0.000 0.210  7.09

(Q)
Here is an optimized crystal structure of Gd2ErZn from Alexandria via LeMat-Bulk. Energies are from GGA-PBE.

Values from the calculation:
As for the size of the total moment: 15.4 μB per formula unit. The calculated density comes out at 8.5 g cm⁻³.

a b c (Å): 4.754 4.755 4.755
angles (deg): 90.00 90.00 90.00
Each line ends with the local moment (μB).
Sites, in units of the cell vectors:
Er: 0.500 0.500 0.500  0.29
Gd: 0.000 0.500 0.000  7.30
Zn: 0.500 0.000 0.000  -0.01
Gd: 0.000 0.000 0.500  7.30

If we sort the structures by their calculated energies, the order from most to least stable is (P), (Q).